DFT (GGA-PBE) results for a geometry-optimized TaZn4Br structure.

Properties
The value obtained for the energy is -2.6559 eV per atom.

Unit cell a=7.4249 b=7.4249 c=7.4249 alpha=90.00 beta=90.00 gamma=90.00
With the nearest neighbours (Å) after each atom.
Space group F-43m (No. 216)
Asymmetric unit:
Ta 0.0000 0.0000 0.0000 [4 per cell]  12 Zn 3.07, 4 Br 3.22
Zn 0.1272 0.1272 0.3728 [16 per cell]  6 Zn 2.58-2.67
Br 0.2500 0.2500 0.7500 [4 per cell]  12 Zn 3.08, 4 Ta 3.22